A:
A geometry-optimized HoTmMg4 structure, computed with PBE.

Computed properties:
As for the crystal system: cubic. The calculation puts the density at 4.7 Mg/m³.

```
HoTmMg4
1.0
0.0000 4.2459 4.2459
4.2459 0.0000 4.2459
4.2459 4.2459 0.0000
Ho Tm Mg
1 1 4
Cartesian
0.0000 0.0000 0.0000
6.3688 6.3688 6.3688
3.1843 3.1843 3.1843
5.3074 5.3074 3.1843
5.3074 3.1843 5.3074
3.1843 5.3074 5.3074
```

***

B:
A geometry-optimized HoTmMg4 structure, computed with PBE.

Computed properties:
As for the crystal system: monoclinic. The calculation puts the density at 4.7 Mg/m³.

```
HoTmMg4
1.0
6.8628 -1.7075 0.0000
6.8628 1.7075 0.0000
-1.6516 0.0000 6.5463
Ho Tm Mg
1 1 4
Cartesian
0.0000 0.0000 0.0000
-0.8258 0.0000 3.2731
4.2006 0.0000 1.0681
3.3826 0.0000 4.3344
8.6914 0.0000 2.2118
7.8735 0.0000 5.4781
```

***

Relative energies with respect to the most stable structure, expressed in meV per atom: A 0; B 18.